1.
! Y3RhN | the Alexandria database | PBE | optimized geometry; values from VASP
! Uncorrected formation energy ... -0.843 eV/atom
! VASP energy ... -7.856 eV/atom
&SYSTEM
  ibrav = 0, nat = 5, ntyp = 3
/
ATOMIC_SPECIES
Y 88.91 Y.upf
Rh 102.91 Rh.upf
N 14.01 N.upf
ATOMIC_POSITIONS crystal
Y 0.000 0.000 0.500
Y 0.000 0.500 0.000
Y 0.500 0.000 0.000
Rh 0.500 0.500 0.500
N 0.000 0.000 0.000
CELL_PARAMETERS angstrom
4.722 0.000 0.000
0.000 4.722 0.000
0.000 0.000 4.722

=====

2.
! Y3Rh5N12 | the Alexandria database | PBE | optimized geometry; values from VASP
! Uncorrected formation energy ... 0.135 eV/atom
! VASP energy ... -7.668 eV/atom
&SYSTEM
  ibrav = 0, nat = 80, ntyp = 3
/
ATOMIC_SPECIES
Y 88.91 Y.upf
Rh 102.91 Rh.upf
N 14.01 N.upf
ATOMIC_POSITIONS crystal
Y 0.125 0.250 0.375
Y 0.125 0.375 0.750
Y 0.250 0.375 0.125
Y 0.250 0.875 0.625
Y 0.375 0.125 0.250
Y 0.375 0.750 0.125
Y 0.625 0.250 0.875
Y 0.625 0.875 0.750
Y 0.750 0.125 0.375
Y 0.750 0.625 0.875
Y 0.875 0.625 0.250
Y 0.875 0.750 0.625
Rh 0.000 0.000 0.000
Rh 0.000 0.000 0.500
Rh 0.000 0.500 0.000
Rh 0.000 0.500 0.500
Rh 0.125 0.750 0.875
Rh 0.125 0.875 0.250
Rh 0.250 0.125 0.875
Rh 0.250 0.625 0.375
Rh 0.375 0.250 0.625
Rh 0.375 0.625 0.750
Rh 0.500 0.000 0.000
Rh 0.500 0.000 0.500
Rh 0.500 0.500 0.000
Rh 0.500 0.500 0.500
Rh 0.625 0.375 0.250
Rh 0.625 0.750 0.375
Rh 0.750 0.375 0.625
Rh 0.750 0.875 0.125
Rh 0.875 0.125 0.750
Rh 0.875 0.250 0.125
N 0.026 0.207 0.118
N 0.026 0.319 0.907
N 0.089 0.707 0.681
N 0.089 0.882 0.407
N 0.093 0.618 0.411
N 0.093 0.974 0.681
N 0.118 0.026 0.207
N 0.118 0.593 0.911
N 0.181 0.207 0.589
N 0.181 0.474 0.593
N 0.207 0.118 0.026
N 0.207 0.589 0.181
N 0.293 0.319 0.911
N 0.293 0.474 0.382
N 0.319 0.907 0.026
N 0.319 0.911 0.293
N 0.382 0.293 0.474
N 0.382 0.589 0.907
N 0.407 0.089 0.882
N 0.407 0.819 0.526
N 0.411 0.093 0.618
N 0.411 0.819 0.793
N 0.474 0.382 0.293
N 0.474 0.593 0.181
N 0.526 0.407 0.819
N 0.526 0.618 0.707
N 0.589 0.181 0.207
N 0.589 0.907 0.382
N 0.593 0.181 0.474
N 0.593 0.911 0.118
N 0.618 0.411 0.093
N 0.618 0.707 0.526
N 0.681 0.089 0.707
N 0.681 0.093 0.974
N 0.707 0.526 0.618
N 0.707 0.681 0.089
N 0.793 0.411 0.819
N 0.793 0.882 0.974
N 0.819 0.526 0.407
N 0.819 0.793 0.411
N 0.882 0.407 0.089
N 0.882 0.974 0.793
N 0.907 0.026 0.319
N 0.907 0.382 0.589
N 0.911 0.118 0.593
N 0.911 0.293 0.319
N 0.974 0.681 0.093
N 0.974 0.793 0.882
CELL_PARAMETERS angstrom
-6.309 6.309 6.309
6.309 -6.309 6.309
6.309 6.309 -6.309

=====

What is the uncorrected formation energy in the first record?
-0.843 eV/atom